VASP calculation (PBE-GGA) on a relaxed TbPr3Er4 crystal.

Unit cell a=3.480 b=8.946 c=8.946 alpha=81.66 beta=78.78 gamma=78.78
Fractional positions:
Pr 0.243 0.757 0.757
Pr 0.000 0.500 0.500
Er 0.365 0.889 0.380
Pr 0.757 0.243 0.243
Er 0.635 0.620 0.111
Tb 0.500 0.000 0.000
Er 0.365 0.380 0.889
Er 0.635 0.111 0.620

Summary:
Energy relative to the elements, eV per atom: 0.1381
Size of the total moment, μB per formula unit: 0.00
Density of states at the Fermi level, states/eV/cell: 12.39
Raw total energy, eV/atom: -4.5144
ΔE to the lowest computed polymorph, eV per atom: 0.112